Material: HgAs2Ru
Method: DFT, GGA-PBE
State: optimized geometry

Calculated values
Energy of formation from the pure elements = 0.151 eV/atom

Unit cell a=6.2174 b=6.2174 c=6.2174 alpha=152.44 beta=134.52 gamma=54.00
Atoms (fractional coordinates):
As  0.0650  0.0650  0.0000
As  0.4350  0.4350  0.0000
Ru  0.2500  0.7500  0.5000
Hg  0.7500  0.2500  0.5000